# 1
Mn2OsRu | SCAN | PBEsol geometry

The structure in POSCAR format:
```
Mn2OsRu
1.0
2.846 0.000 0.000
0.000 4.187 0.000
0.000 0.000 4.372
Mn Os Ru
2 1 1
Cartesian
0.000 0.000 0.000
1.423 0.000 2.186
1.423 2.093 0.000
0.000 2.093 2.186
```

=====

# 2
Mn2OsRu | SCAN | PBEsol geometry

The structure in POSCAR format:
```
Mn2OsRu
1.0
2.610 -0.092 0.000
-1.002 2.412 0.000
0.000 0.000 8.410
Mn Os Ru
2 1 1
Cartesian
0.000 0.000 2.088
0.000 0.000 6.322
0.804 1.160 4.205
0.804 1.160 0.000
```

=====

# 3
MnOsRu | SCAN | PBEsol geometry

The structure in POSCAR format:
```
MnOsRu
1.0
-1.497 -2.987 2.323
1.327 -3.816 -0.488
2.335 -1.723 2.853
Mn Os Ru
1 1 1
Cartesian
0.000 0.000 0.000
1.082 -4.263 2.344
0.541 -2.131 1.172
```

=====

# 4
Mn2OsRu | SCAN | PBEsol geometry

The structure in POSCAR format:
```
Mn2OsRu
1.0
-1.348 3.293 -0.916
-2.027 -1.563 -2.636
-1.079 -1.329 4.178
Mn Os Ru
2 1 1
Cartesian
0.000 0.000 0.000
-2.057 1.415 0.743
-1.687 0.865 -1.776
-2.397 -1.013 -0.117
```

=====

# 5
Mn2OsRu | SCAN | PBEsol geometry

The structure in POSCAR format:
```
Mn2OsRu
1.0
-1.502 0.278 -2.113
-1.285 -4.231 0.356
-2.831 2.487 2.341
Mn Os Ru
2 1 1
Cartesian
-0.642 -2.115 0.178
-1.416 1.244 1.170
-0.751 0.139 -1.057
-2.809 -0.733 0.292
```

=====

# 6
Mn2OsRu | SCAN | PBEsol geometry

The structure in POSCAR format:
```
Mn2OsRu
1.0
-2.491 -0.736 -1.399
2.025 -3.066 -1.992
-0.957 -2.642 3.094
Mn Os Ru
2 1 1
Cartesian
-0.478 -1.321 1.547
1.012 -1.533 -0.996
-0.712 -3.222 -0.148
-1.246 -0.368 -0.700
```

=====

no.,energy of formation (eV/atom),final energy (eV/atom)
1,0.068,-35.7357
2,0.076,-35.7285
3,0.464,-41.1899
4,-0.176,-35.9804
5,0.043,-35.7606
6,-0.215,-36.0195